No. 1
Here is a relaxed Hf3MnNb crystal from Alexandria via LeMat-Bulk. Energies are from PBE.

POSCAR file:
```
Hf3MnNb
1.0
4.744 0.000 0.000
0.000 4.744 0.000
0.000 0.000 4.744
Mn Hf Nb
1 3 1
direct
0.000 0.000 0.000
0.500 0.000 0.000
0.000 0.000 0.500
0.000 0.500 0.000
0.500 0.500 0.500
```

SG ... Pm-3m (221)
VASP energy ... -0.6813 Ry/atom
Formation energy ... 550.0 meV/atom
N(E_F) ... 1.2069 states/eV/atom
Theoretical density ... 10.63 g/cm3

=====

No. 2
Here is a relaxed HfMn2Nb2 crystal from Alexandria via LeMat-Bulk. Energies are from PBE.

POSCAR file:
```
HfMn2Nb2
1.0
-1.600 -1.696 1.953
1.322 -2.528 -1.113
7.089 -0.511 5.365
Hf Mn Nb
1 2 2
direct
0.000 0.000 0.000
0.500 0.405 0.190
0.500 0.595 0.810
0.000 0.178 0.644
0.000 0.822 0.356
```

SG ... Cmmm (65)
VASP energy ... -0.7031 Ry/atom
Formation energy ... 120.4 meV/atom
N(E_F) ... 0.9466 states/eV/atom
Theoretical density ... 9.64 g/cm3

=====

No. 3
Here is a relaxed HfMn4Nb3 crystal from Alexandria via LeMat-Bulk. Energies are from PBE.

POSCAR file:
```
HfMn4Nb3
1.0
-4.080 1.547 -0.162
-1.380 -4.102 -4.419
-2.425 -5.757 6.101
Mn Nb Hf
8 6 2
direct
0.000 0.755 0.750
0.000 0.755 0.250
0.500 0.245 0.500
0.000 0.245 0.250
0.500 0.755 0.000
0.500 0.245 0.000
0.000 0.245 0.750
0.500 0.755 0.500
0.000 0.000 0.500
0.500 0.500 0.250
0.500 0.000 0.750
0.500 0.500 0.750
0.000 0.000 0.000
0.500 0.000 0.250
0.000 0.500 0.000
0.000 0.500 0.500
```

SG ... P4/mmm (123)
VASP energy ... -0.7158 Ry/atom
Formation energy ... -134.4 meV/atom
N(E_F) ... 0.8736 states/eV/atom
Theoretical density ... 9.53 g/cm3

=====

No. 4
Here is a relaxed HfMn3Nb crystal from Alexandria via LeMat-Bulk. Energies are from PBE.

POSCAR file:
```
HfMn3Nb
1.0
-3.657 2.608 0.742
-1.074 -2.537 3.625
2.490 2.737 2.653
Nb Hf Mn
1 1 3
direct
0.000 0.000 0.000
0.500 0.500 0.500
0.000 0.500 0.000
0.000 0.000 0.500
0.500 0.000 0.000
```

SG ... Pm-3m (221)
Energy above the lowest structure with this stoichiometry ... 0.0 meV/atom
VASP energy ... -0.6186 Ry/atom
Formation energy ... 1089.4 meV/atom
N(E_F) ... 0.9701 states/eV/atom
Theoretical density ... 7.67 g/cm3

=====

No. 5
Here is a relaxed Hf3Mn8Nb crystal from Alexandria via LeMat-Bulk. Energies are from PBE.

POSCAR file:
```
Hf3Mn8Nb
1.0
4.704 0.000 1.420
2.138 4.191 1.420
0.000 0.000 8.502
Mn Hf Nb
8 3 1
direct
0.437 0.937 0.189
0.938 0.938 0.686
0.438 0.938 0.686
0.188 0.188 0.437
0.937 0.437 0.189
0.938 0.438 0.686
0.437 0.437 0.189
0.687 0.687 0.938
0.375 0.375 0.875
0.999 0.999 0.002
0.501 0.501 0.498
0.875 0.875 0.376
```

SG ... R3m (160)
VASP energy ... -0.7104 Ry/atom
Formation energy ... -225.5 meV/atom
N(E_F) ... 0.9741 states/eV/atom
Theoretical density ... 10.58 g/cm3

=====

No. 6
Here is a relaxed Hf2MnNb crystal from Alexandria via LeMat-Bulk. Energies are from PBE.

POSCAR file:
```
Hf2MnNb
1.0
-2.660 1.359 -1.063
-1.724 -2.021 1.732
0.146 4.592 5.504
Hf Mn Nb
2 1 1
direct
0.000 0.000 0.215
0.000 0.000 0.785
0.500 0.500 0.000
0.500 0.500 0.500
```

SG ... P4/mmm (123)
Energy above the lowest structure with this stoichiometry ... 0.0 meV/atom
VASP energy ... -0.7213 Ry/atom
Formation energy ... -27.4 meV/atom
N(E_F) ... 1.2150 states/eV/atom
Theoretical density ... 11.63 g/cm3